No. 1
SCAN InTeRh2, single point on PBEsol structure; crystal system = orthorhombic; SG = Imm2, No. 44; formation energy from raw total energies = -224 meV per atom; size of the total moment = 0.000 μB per atom
1.0
-1.7271 1.9678 5.3077
1.7271 -1.9678 5.3077
1.7271 1.9678 -5.3077
In Te Rh
1 1 2
Direct
0.0000 0.0000 0.0000
0.2519 0.7519 0.5000
0.4348 0.4348 0.0000
0.6856 0.1856 0.5000

=====

No. 2
SCAN In2TeRh, single point on PBEsol structure; crystal system = trigonal; SG = R3m, No. 160; formation energy from raw total energies = -150 meV per atom; size of the total moment = 0.000 μB per atom
1.0
1.8684 1.0787 7.6715
-1.8684 1.0787 7.6715
0.0000 -2.1575 7.6715
In Te Rh
2 1 1
Direct
0.0000 0.0000 0.0000
0.2393 0.2393 0.2393
0.7718 0.7718 0.7718
0.4995 0.4995 0.4995

=====

Question: What is the formula in the first record?
Answer: InTeRh2

=====

Question: Look up the size of the total moment of the second one.
Answer: 0.000 μB per atom

=====

Question: What is the size of the total moment in the first record?
Answer: 0.000 μB per atom